1.
Mn2GaReSe, relaxed, DFT PBE-GGA; theoretical density = 10.355 g cm⁻³; E = -7.386 eV per atom; crystal system = orthorhombic; energy above the most stable polymorph in this dataset = 0.342 eV/f.u.
1.0
2.8830 0.0000 0.0000
0.0000 2.9471 0.0000
0.0000 0.0000 8.3946
Mn Ga Re Se
2 1 1 1
direct
0.0000 0.0000 0.0000
0.0000 0.0000 0.3651
0.5000 0.5000 0.1835
0.5000 0.5000 0.5363
0.5000 0.0000 0.7836

2.
Mn2GaReSe, relaxed, DFT PBE-GGA; theoretical density = 8.481 g cm⁻³; E = -7.379 eV per atom; crystal system = orthorhombic; energy above the most stable polymorph in this dataset = 0.379 eV/f.u.
1.0
3.0996 0.0000 0.0000
0.0000 4.1940 0.0000
0.0000 0.0000 6.6988
Mn Ga Re Se
2 1 1 1
direct
0.0000 0.0000 0.0000
0.0000 0.5000 0.4115
0.5000 0.5000 0.0818
0.5000 0.0000 0.3286
0.0000 0.0000 0.6237

Number 1: E_form (uncorrected) 0.07 eV per atom. Number 2: E_form (uncorrected) 0.08 eV per atom.